# 1
# Li3ScSn6

Crystalline Li3ScSn6 at its relaxed geometry (PBE-GGA, Alexandria).

It has space group P2_1/m (No. 11), with a = 10.103 Å, b = 4.438 Å, c = 10.151 Å, α = 90.00°, β = 91.08° and γ = 90.00°. The asymmetric unit holds Li at (0.058, 0.250, 0.397), Li at (0.148, 0.750, 0.202), Li at (0.247, 0.250, 0.002), Sc at (0.434, 0.250, 0.617), Sn at (0.032, 0.750, 0.900), Sn at (0.130, 0.250, 0.688), Sn at (0.246, 0.750, 0.491), Sn at (0.330, 0.750, 0.811), Sn at (0.345, 0.250, 0.302) and Sn at (0.442, 0.750, 0.104).

As for the crystal system: monoclinic. Its energy of formation from the pure elements is -285 kJ/mol of formula units.


# 2
# LiScSn

Crystalline LiScSn at its relaxed geometry (PBE-GGA, Alexandria).

It has space group P-3m1 (No. 164), with a = 4.6736 Å, b = 4.6736 Å, c = 6.4706 Å, α = 90.00°, β = 90.00° and γ = 120.00°. The asymmetric unit holds Li at (0.3333, 0.6667, 0.3511), Sc at (0.3333, 0.6667, 0.8199), Sn at (0.0000, 0.0000, 0.0000) and Sn at (0.0000, 0.0000, 0.5000).

As for the crystal system: trigonal. Its energy of formation from the pure elements is -123 kJ/mol of formula units.


Number 1: N(E_F) 8.04 states/eV per cell, VASP energy -3.90 eV per atom, spin magnetization 0.0000 μB/atom. Number 2: N(E_F) 0.77 states/eV per cell, VASP energy -4.51 eV per atom, spin magnetization 0.0000 μB/atom.